## K2UI5 (PBE-GGA)

Data for a relaxed structure of K2UI5.

Values from the calculation:
* volume: 1347.2 Å³ per cell
* space-group type: Pnma, No. 62
* spin magnetization: 12.00 μB per cell
* E: -0.2792 Ry per atom

abc: 14.6930 9.8652 9.2944
angles: 90.00 90.00 90.00
Last column: nearest neighbours and their distance in Å.
Fractional positions:
1 K 0.3269 0.4956 0.0583  8 I 3.63-3.93
2 K 0.1731 0.9956 0.5583  8 I 3.62-3.93
3 K 0.6731 0.9956 0.9417  8 I 3.63-3.93
4 K 0.3269 0.0044 0.0583  8 I 3.63-3.93
5 K 0.1731 0.5044 0.5583  8 I 3.62-3.93
6 K 0.6731 0.5044 0.9417  8 I 3.63-3.93
7 K 0.8269 0.0044 0.4417  8 I 3.62-3.93
8 K 0.8269 0.4956 0.4417  8 I 3.62-3.93
9 I 0.8196 0.2500 0.1242  1 U 3.19
10 I 0.4231 0.9556 0.6674  2 U 3.22-3.24
11 I 0.9231 0.9556 0.8326  2 U 3.22-3.24
12 I 0.0062 0.7500 0.4268  1 U 3.28, 4 K 3.64-3.66
13 I 0.6804 0.7500 0.6242  1 U 3.19
14 I 0.4231 0.5444 0.6674  2 U 3.22-3.24
15 I 0.9231 0.5444 0.8326  2 U 3.22-3.24
16 I 0.1804 0.7500 0.8758  1 U 3.19
17 I 0.5062 0.7500 0.0732  1 U 3.28, 4 K 3.64-3.66
18 I 0.9938 0.2500 0.5732  1 U 3.28, 4 K 3.64-3.66
19 I 0.0769 0.0444 0.1674  2 U 3.22-3.24
20 I 0.7068 0.2500 0.6611  1 U 3.19
21 I 0.2068 0.2500 0.8389  1 U 3.19
22 I 0.0769 0.4556 0.1674  2 U 3.22-3.24
23 I 0.2932 0.7500 0.3389  1 U 3.19
24 I 0.5769 0.4556 0.3326  2 U 3.22-3.24
25 I 0.3196 0.2500 0.3758  1 U 3.19
26 I 0.7932 0.7500 0.1611  1 U 3.19
27 I 0.4938 0.2500 0.9268  1 U 3.28, 4 K 3.64-3.66
28 I 0.5769 0.0444 0.3326  2 U 3.22-3.24
29 U 0.5029 0.7500 0.4259  7 I 3.19-3.28
30 U 0.0029 0.7500 0.0741  7 I 3.19-3.28
31 U 0.9971 0.2500 0.9259  7 I 3.19-3.28
32 U 0.4971 0.2500 0.5741  7 I 3.19-3.28